Record 1
The following is a DFT calculation (SCAN) of K2TePt at its PBEsol-relaxed geometry.

The crystal system is trigonal. The value obtained for the total DFT energy (no corrections) is -31.032 eV/atom.

The structure belongs to space group R-3m (No. 166, hexagonal axes); the cell edges are 3.3913, 3.3913 and 31.6118 Å and the angles 90.00°, 90.00° and 120.00°. The asymmetric unit holds K at (0.0000, 0.0000, 0.2425), Te at (0.0000, 0.0000, 0.0000) and Pt at (0.0000, 0.0000, 0.5000).

---

Record 2
The following is a DFT calculation (SCAN) of KTl2TePt at its PBEsol-relaxed geometry.

The crystal system is tetragonal. The value obtained for the total DFT energy (no corrections) is -52.416 eV/atom.

The structure belongs to space group P4/mmm (No. 123); the cell edges are 5.197, 5.197 and 5.812 Å and the angles 90.00°, 90.00° and 90.00°. The asymmetric unit holds K at (0.000, 0.000, 0.000), Tl at (0.000, 0.500, 0.500), Te at (0.500, 0.500, 0.000) and Pt at (0.000, 0.000, 0.500).

---

Record 3
The following is a DFT calculation (SCAN) of K3TiPt at its PBEsol-relaxed geometry.

The calculation puts the formation energy at 30.4 kcal/mol of atoms. The crystal system is cubic.

The structure belongs to space group Pm-3m (No. 221); the cell edges are 5.951, 5.951 and 5.951 Å and the angles 90.00°, 90.00° and 90.00°. The asymmetric unit holds K at (0.000, 0.000, 0.500), Ti at (0.000, 0.000, 0.000) and Pt at (0.500, 0.500, 0.500).

---

Record 4
The following is a DFT calculation (SCAN) of K2Ti2Pt at its PBEsol-relaxed geometry.

The calculation puts the formation energy at 18.2 kcal/mol of atoms. The crystal system is tetragonal.

The structure belongs to space group I4/mmm (No. 139); the cell edges are 3.749, 3.749 and 15.926 Å and the angles 90.00°, 90.00° and 90.00°. The asymmetric unit holds K at (0.000, 0.500, 0.250), Ti at (0.000, 0.000, 0.065) and Pt at (0.000, 0.000, 0.500).

---

Record 5
The following is a DFT calculation (SCAN) of KTl2Pt at its PBEsol-relaxed geometry.

The calculation puts the formation energy at -3.6 kcal/mol of atoms. The crystal system is tetragonal.

The structure belongs to space group P4/mmm (No. 123); the cell edges are 3.438, 3.438 and 8.358 Å and the angles 90.00°, 90.00° and 90.00°. The asymmetric unit holds K at (0.000, 0.000, 0.000), Tl at (0.500, 0.500, 0.306) and Pt at (0.000, 0.000, 0.500).

---

Record 6
The following is a DFT calculation (SCAN) of KTlPt4 at its PBEsol-relaxed geometry.

The calculation puts the formation energy at -4.4 kcal/mol of atoms. The crystal system is cubic.

The structure belongs to space group F-43m (No. 216); the cell edges are 7.622, 7.622 and 7.622 Å and the angles 90.00°, 90.00° and 90.00°. The asymmetric unit holds K at (0.000, 0.000, 0.000), Tl at (0.250, 0.250, 0.750) and Pt at (0.125, 0.125, 0.375).